This record from the Alexandria database describes crystalline LaBeOs4 at its relaxed geometry. The functional is PBE-GGA.

Values from the calculation:
- Energy: -8.4373 eV per atom
- Magnetic moment: 0.01 μB per formula unit

Unit cell a=5.309 b=5.309 c=5.309 alpha=60.00 beta=60.00 gamma=60.00
Atoms (fractional coordinates):
Os1 0.376 0.376 0.872
Os2 0.872 0.376 0.376
Os3 0.376 0.872 0.376
Os4 0.376 0.376 0.376
La1 0.000 0.000 0.000
Be1 0.750 0.750 0.750